# 1
PBE MnCoRe2Pd, relaxed; energy of formation = 1436 meV/atom; SG = P4/mmm, No. 123; size of the total moment = 0.0 μB per cell
1.0
4.378 0.000 0.000
0.000 4.378 0.000
0.000 0.000 4.142
Mn Co Re Pd
1 1 2 1
direct
0.000 0.000 0.000
0.000 0.000 0.500
0.000 0.500 0.500
0.500 0.000 0.500
0.500 0.500 0.000

=====

# 2
PBE Mn2CoPdRh, relaxed; energy of formation = 2193 meV/atom; SG = P4/mmm, No. 123; size of the total moment = 0.5 μB per cell
1.0
4.385 0.000 0.000
0.000 4.385 0.000
0.000 0.000 4.795
Mn Co Pd Rh
2 1 1 1
direct
0.000 0.500 0.000
0.500 0.000 0.000
0.000 0.000 0.500
0.500 0.500 0.000
0.500 0.500 0.500

=====

# 3
PBE MnCoPdRh, relaxed; energy of formation = 46 meV/atom; SG = F-43m, No. 216; size of the total moment = 7.2 μB per cell
1.0
0.000 3.040 3.040
3.040 0.000 3.040
3.040 3.040 0.000
Mn Co Pd Rh
1 1 1 1
direct
0.000 0.000 0.000
0.500 0.500 0.500
0.750 0.750 0.750
0.250 0.250 0.250

=====

# 4
PBE MnCoSbPd, relaxed; SG = F-43m, No. 216; size of the total moment = 4.8 μB per cell; formation energy from raw total energies = -77 meV per atom
1.0
0.000 3.124 3.124
3.124 0.000 3.124
3.124 3.124 0.000
Mn Co Sb Pd
1 1 1 1
direct
0.000 0.000 0.000
0.250 0.250 0.250
0.500 0.500 0.500
0.750 0.750 0.750

=====

# 5
PBE MnCoPd2Se6, relaxed; SG = C2/c, No. 15; size of the total moment = 5.0 μB per cell; formation energy from raw total energies = -132 meV per atom
1.0
5.907 -6.430 0.000
5.907 6.430 0.000
-1.217 0.000 5.164
Mn Co Pd Se
2 2 4 12
direct
0.085 0.915 0.750
0.915 0.085 0.250
0.180 0.820 0.250
0.820 0.180 0.750
0.257 0.503 0.172
0.497 0.743 0.328
0.503 0.257 0.672
0.743 0.497 0.828
0.065 0.653 0.877
0.068 0.189 0.662
0.189 0.068 0.162
0.317 0.467 0.686
0.347 0.935 0.623
0.467 0.317 0.186
0.533 0.683 0.814
0.653 0.065 0.377
0.683 0.533 0.314
0.811 0.932 0.838
0.932 0.811 0.338
0.935 0.347 0.123

=====

# 6
PBE MnCo2PdSe6, relaxed; SG = R3, No. 146; size of the total moment = 3.7 μB per cell; formation energy from raw total energies = -272 meV per atom
1.0
3.157 1.823 5.310
-3.157 1.823 5.310
0.000 -3.646 5.310
Mn Co Pd Se
1 2 1 6
direct
0.000 0.000 0.000
0.311 0.311 0.311
0.812 0.812 0.812
0.503 0.503 0.503
0.077 0.714 0.417
0.205 0.588 0.927
0.417 0.077 0.714
0.588 0.927 0.205
0.714 0.417 0.077
0.927 0.205 0.588

=====

# 7
PBE MnCoSn2Pd, relaxed; energy of formation = 669 meV/atom; SG = P4/mmm, No. 123; size of the total moment = 1.5 μB per cell
1.0
4.850 0.000 0.000
0.000 4.850 0.000
0.000 0.000 4.164
Mn Co Sn Pd
1 1 2 1
direct
0.000 0.000 0.000
0.000 0.000 0.500
0.000 0.500 0.000
0.500 0.000 0.000
0.500 0.500 0.500

=====

# 8
PBE MnCoTePd2, relaxed; SG = P4/mmm, No. 123; size of the total moment = 4.6 μB per cell; formation energy from raw total energies = 753 meV per atom
1.0
4.925 0.000 0.000
0.000 4.925 0.000
0.000 0.000 4.579
Mn Co Te Pd
1 1 1 2
direct
0.000 0.000 0.000
0.500 0.500 0.000
0.500 0.500 0.500
0.000 0.500 0.500
0.500 0.000 0.500

=====

Calculated DOS(E_F) in order - 1.031, 2.777, 1.770, 1.032, 0.553, 0.791, 1.142, 1.199 states/eV/atom